# SCAN ZrBePt, single point on PBEsol structure
data_ZrBePt
_symmetry_space_group_name_H-M 'I m m 2'
_symmetry_Int_Tables_number 44
_cell_length_a 2.8293
_cell_length_b 3.1438
_cell_length_c 9.9435
_cell_angle_alpha 90.00
_cell_angle_beta 90.00
_cell_angle_gamma 90.00
loop_
_symmetry_equiv_pos_as_xyz
'x,y,z'
'-x,-y,z'
'-x,y,z'
'x,-y,z'
'x+1/2,y+1/2,z+1/2'
'-x+1/2,-y+1/2,z+1/2'
'-x+1/2,y+1/2,z+1/2'
'x+1/2,-y+1/2,z+1/2'
loop_
_atom_site_label
_atom_site_type_symbol
_atom_site_fract_x
_atom_site_fract_y
_atom_site_fract_z
Zr1 Zr 0.0000 0.0000 0.0000
Be1 Be 0.0000 0.0000 0.3078
Pt1 Pt 0.0000 0.0000 0.7010
# VASP energy ... -2.636 Ry per atom
# Mass density ... 11.1 g cm⁻³
# N(E_F) ... 0.58 states/eV/atom
# ΔE to the lowest computed polymorph ... 159 meV per atom
# Energy of formation from the pure elements ... -226 kJ/mol of formula units

---

# SCAN Zr2Be2Pt, single point on PBEsol structure
data_Zr2Be2Pt
_symmetry_space_group_name_H-M 'P 4/m b m'
_symmetry_Int_Tables_number 127
_symmetry_space_group_name_Hall '-P 4 2ab'
_cell_length_a 6.3426
_cell_length_b 6.3426
_cell_length_c 3.6607
_cell_angle_alpha 90.00
_cell_angle_beta 90.00
_cell_angle_gamma 90.00
loop_
_atom_site_label
_atom_site_type_symbol
_atom_site_fract_x
_atom_site_fract_y
_atom_site_fract_z
Zr1 Zr 0.1741 0.3259 0.0000
Be1 Be 0.1231 0.6231 0.5000
Pt1 Pt 0.0000 0.0000 0.5000
# VASP energy ... -2.117 Ry per atom
# Mass density ... 8.9 g cm⁻³
# N(E_F) ... 0.67 states/eV/atom
# Energy of formation from the pure elements ... -357 kJ/mol of formula units